Computed, not measured: RbMnFe2F after structural relaxation at the GGA+U level of DFT.

Computed properties:
DFT total energy: -14.36 eV for the cell shown
space group: P4/mmm (123)
theoretical density: 1.3 g/cm³

Cell and atoms, written as CIF:
```
data_RbMnFe2F
_symmetry_space_group_name_H-M 'P 1'
_symmetry_Int_Tables_number 1
_symmetry_space_group_name_Hall 'P 1'
_cell_length_a 7.007
_cell_length_b 7.140
_cell_length_c 7.007
_cell_angle_alpha 90.00
_cell_angle_beta 90.00
_cell_angle_gamma 90.00
loop_
_atom_site_label
_atom_site_fract_x
_atom_site_fract_y
_atom_site_fract_z
Fe1 0.500 0.000 0.000
Fe2 0.000 0.000 0.500
Mn1 0.000 0.500 0.000
Rb1 0.000 0.000 0.000
F1 0.500 0.500 0.500
```


Computed, not measured: NiPdO2 after structural relaxation at the GGA+U level of DFT.

Computed properties:
DFT total energy: -40.29 eV for the cell shown
space group: P1 (1)
theoretical density: 7.1 g/cm³

Cell and atoms, written as CIF:
```
data_NiPdO2
_symmetry_space_group_name_H-M 'P 1'
_symmetry_Int_Tables_number 1
_symmetry_space_group_name_Hall 'P 1'
_cell_length_a 3.023
_cell_length_b 7.688
_cell_length_c 5.369
_cell_angle_alpha 50.72
_cell_angle_beta 98.85
_cell_angle_gamma 84.71
loop_
_atom_site_label
_atom_site_fract_x
_atom_site_fract_y
_atom_site_fract_z
O1 0.863 0.021 0.175
O2 0.606 0.567 0.675
O3 0.735 0.009 0.665
O4 0.438 0.539 0.181
Ni1 0.086 0.755 0.686
Ni2 0.022 0.520 0.442
Pd1 0.664 0.284 0.172
Pd2 0.292 0.029 0.910
```